1.
# Zr2InRu (PBE-GGA, relaxed)
data_Zr2InRu
_chemical_formula_sum 'Zr4 In2 Ru2'
_space_group_name_H-M_alt 'P 1'
_space_group_IT_number 1
_cell_length_a 7.768
_cell_length_b 7.768
_cell_length_c 6.201
_cell_angle_alpha 51.22
_cell_angle_beta 51.22
_cell_angle_gamma 90.00
loop_
_space_group_symop_operation_xyz
'x,y,z'
loop_
_atom_site_label
_atom_site_fract_x
_atom_site_fract_y
_atom_site_fract_z
Ru1 0.500 0.500 0.000
Ru2 0.250 0.750 0.500
Zr1 0.572 0.125 0.250
Zr2 0.178 0.625 0.250
Zr3 0.375 0.428 0.750
Zr4 0.875 0.822 0.750
In1 0.000 0.000 0.000
In2 0.750 0.250 0.500
# - crystal system = tetragonal
# - formation energy from the elements (eV/atom) = -0.002
# - raw total energy (eV per formula unit) = -29.117
# - V (Å³/cell) = 173.60
# - SG = I-42d
# - total magnetization (μB per cell) = 0.00

***

2.
# Nb4Ni2N (PBE-GGA, relaxed)
data_Nb4Ni2N
_chemical_formula_sum 'Nb8 Ni4 N2'
_space_group_name_H-M_alt 'P 1'
_space_group_IT_number 1
_cell_length_a 3.045
_cell_length_b 6.959
_cell_length_c 9.867
_cell_angle_alpha 90.00
_cell_angle_beta 90.00
_cell_angle_gamma 90.00
loop_
_space_group_symop_operation_xyz
'x,y,z'
loop_
_atom_site_label
_atom_site_fract_x
_atom_site_fract_y
_atom_site_fract_z
Nb1 0.000 0.637 0.803
Nb2 0.000 0.363 0.197
Nb3 0.000 0.137 0.697
Nb4 0.000 0.863 0.303
Nb5 0.500 0.807 0.572
Nb6 0.500 0.193 0.428
Nb7 0.500 0.693 0.072
Nb8 0.500 0.307 0.928
Ni1 0.500 0.943 0.874
Ni2 0.500 0.057 0.126
Ni3 0.500 0.443 0.626
Ni4 0.500 0.557 0.374
N1 0.000 0.000 0.500
N2 0.000 0.500 0.000
# - energy relative to the lowest polymorph listed for this composition (meV per atom) = 328
# - crystal system = orthorhombic
# - formation energy from raw total energies (meV per atom) = -247
# - raw total energy (eV per formula unit) = -61.896
# - V (Å³/cell) = 209.06
# - SG = Pbam
# - total magnetization (μB per cell) = 0.00

***

3.
# Pm5Tl4Au (PBE-GGA, relaxed)
data_Pm5Tl4Au
_chemical_formula_sum 'Pm5 Tl4 Au1'
_space_group_name_H-M_alt 'P 1'
_space_group_IT_number 1
_cell_length_a 3.696
_cell_length_b 3.696
_cell_length_c 20.785
_cell_angle_alpha 90.00
_cell_angle_beta 90.00
_cell_angle_gamma 90.00
loop_
_space_group_symop_operation_xyz
'x,y,z'
loop_
_atom_site_label
_atom_site_fract_x
_atom_site_fract_y
_atom_site_fract_z
Pm1 0.500 0.500 0.088
Pm2 0.500 0.500 0.294
Pm3 0.500 0.500 0.500
Pm4 0.500 0.500 0.706
Pm5 0.500 0.500 0.912
Tl1 0.000 0.000 0.192
Tl2 0.000 0.000 0.397
Tl3 0.000 0.000 0.603
Tl4 0.000 0.000 0.808
Au1 0.000 0.000 0.000
# - crystal system = tetragonal
# - formation energy from the elements (eV/atom) = -0.473
# - raw total energy (eV per formula unit) = -41.221
# - V (Å³/cell) = 283.94
# - SG = P4/mmm
# - total magnetization (μB per cell) = 0.00

***

4.
# Sm3ErMg4 (PBE-GGA, relaxed)
data_Sm3ErMg4
_chemical_formula_sum 'Sm3 Er1 Mg4'
_space_group_name_H-M_alt 'P 1'
_space_group_IT_number 1
_cell_length_a 3.821
_cell_length_b 3.821
_cell_length_c 15.359
_cell_angle_alpha 90.00
_cell_angle_beta 90.00
_cell_angle_gamma 90.00
loop_
_space_group_symop_operation_xyz
'x,y,z'
loop_
_atom_site_label
_atom_site_fract_x
_atom_site_fract_y
_atom_site_fract_z
Mg1 0.000 0.000 0.880
Mg2 0.000 0.000 0.120
Mg3 0.000 0.000 0.373
Mg4 0.000 0.000 0.627
Sm1 0.500 0.500 0.246
Sm2 0.500 0.500 0.500
Sm3 0.500 0.500 0.754
Er1 0.500 0.500 0.000
# - crystal system = tetragonal
# - formation energy from the elements (eV/atom) = -0.090
# - raw total energy (eV per formula unit) = -25.822
# - V (Å³/cell) = 224.21
# - SG = P4/mmm
# - total magnetization (μB per cell) = 0.00

***

5.
# AcPb2S4 (PBE-GGA, relaxed)
data_AcPb2S4
_chemical_formula_sum 'Ac2 Pb4 S8'
_space_group_name_H-M_alt 'P 1'
_space_group_IT_number 1
_cell_length_a 4.220
_cell_length_b 7.161
_cell_length_c 13.350
_cell_angle_alpha 90.00
_cell_angle_beta 90.00
_cell_angle_gamma 107.14
loop_
_space_group_symop_operation_xyz
'x,y,z'
loop_
_atom_site_label
_atom_site_fract_x
_atom_site_fract_y
_atom_site_fract_z
Ac1 0.602 0.204 0.750
Ac2 0.398 0.796 0.250
Pb1 0.134 0.267 0.439
Pb2 0.866 0.733 0.939
Pb3 0.134 0.267 0.061
Pb4 0.866 0.733 0.561
S1 0.782 0.564 0.133
S2 0.782 0.564 0.367
S3 0.218 0.436 0.867
S4 0.218 0.436 0.633
S5 0.950 0.899 0.750
S6 0.050 0.101 0.250
S7 0.500 0.000 0.000
S8 0.500 0.000 0.500
# - crystal system = orthorhombic
# - formation energy from raw total energies (meV per atom) = -975
# - raw total energy (eV per formula unit) = -34.863
# - V (Å³/cell) = 385.46
# - SG = Cmcm
# - total magnetization (μB per cell) = 0.00

***

6.
# DyTa2ReC4 (PBE-GGA, relaxed)
data_DyTa2ReC4
_chemical_formula_sum 'Dy2 Ta4 Re2 C8'
_space_group_name_H-M_alt 'P 1'
_space_group_IT_number 1
_cell_length_a 3.239
_cell_length_b 5.895
_cell_length_c 11.218
_cell_angle_alpha 90.00
_cell_angle_beta 90.00
_cell_angle_gamma 105.94
loop_
_space_group_symop_operation_xyz
'x,y,z'
loop_
_atom_site_label
_atom_site_fract_x
_atom_site_fract_y
_atom_site_fract_z
Dy1 0.112 0.224 0.750
Dy2 0.888 0.776 0.250
Ta1 0.371 0.742 0.535
Ta2 0.629 0.258 0.035
Ta3 0.629 0.258 0.465
Ta4 0.371 0.742 0.965
Re1 0.847 0.694 0.750
Re2 0.153 0.306 0.250
C1 0.263 0.525 0.114
C2 0.737 0.475 0.614
C3 0.737 0.475 0.886
C4 0.263 0.525 0.386
C5 0.000 0.000 0.500
C6 0.000 0.000 0.000
C7 0.449 0.898 0.750
C8 0.551 0.102 0.250
# - crystal system = orthorhombic
# - formation energy from the elements (eV/atom) = -0.249
# - raw total energy (eV per formula unit) = -79.643
# - V (Å³/cell) = 205.94
# - SG = Cmcm
# - total magnetization (μB per cell) = 0.00